A relaxed CaTe2Os crystal, computed with PBE-GGA.

Formation energy without anion corrections in meV per atom: -101
Total energy in Ry/atom: -0.36597
Crystal system: orthorhombic

Cell lengths 7.1391, 7.1391, 7.1391 Å; angles 150.31, 147.04, 44.95 degrees
Element x y z (fractional)
Te (0.7750, 0.2750, 0.5000)
Te (0.0636, 0.0636, 0.0000)
Os (0.2104, 0.7104, 0.5000)
Ca (0.4510, 0.4510, 0.0000)